# 1
Tb8Pr2Mg after structural relaxation. Source: Alexandria, functional PBE-GGA.

Computed properties:
distance to the lowest polymorph of the same formula: 0.0216 eV per atom
crystal system: monoclinic
raw total energy: -4.250 eV per atom
space-group type: No. 12

Cell: 8.822 8.822 6.738 Å, 100.97 100.97 44.48°
Element x y z (fractional)
Tb 0.094 0.094 0.917
Tb 0.158 0.681 0.614
Tb 0.255 0.255 0.688
Tb 0.319 0.842 0.386
Tb 0.681 0.158 0.614
Tb 0.745 0.745 0.312
Tb 0.842 0.319 0.386
Tb 0.906 0.906 0.083
Pr 0.314 0.314 0.208
Pr 0.686 0.686 0.792
Mg 0.500 0.500 0.000

# 2
CaTiAs after structural relaxation. Source: Alexandria, functional PBE-GGA.

Computed properties:
crystal system: tetragonal
raw total energy: -5.728 eV per atom
space-group type: No. 129

Cell: 4.034 4.034 7.835 Å, 90.00 90.00 90.00°
Element x y z (fractional)
Ca 0.250 0.250 0.157
Ca 0.750 0.750 0.843
Ti 0.250 0.750 0.500
Ti 0.750 0.250 0.500
As 0.250 0.250 0.734
As 0.750 0.750 0.266